Material: Dy6Er3In
Method: DFT, GGA-PBE
State: optimized geometry

Output
Electronic total energy = -4.436 eV/atom
ρ = 8601 kg/m³
Space-group type = No. 11

a = 3.527 Å, b = 12.791 Å, c = 15.962 Å
α = 121.41°, β = 90.00°, γ = 90.00°
Fractional positions:
Dy1 0.750 0.598 0.711
Dy2 0.250 0.402 0.289
Dy3 0.750 0.860 0.107
Dy4 0.250 0.140 0.893
Dy5 0.750 0.380 0.099
Dy6 0.250 0.620 0.901
Dy7 0.750 0.664 0.307
Dy8 0.250 0.336 0.693
Dy9 0.750 0.114 0.477
Dy10 0.250 0.886 0.523
Dy11 0.750 0.879 0.716
Dy12 0.250 0.121 0.284
Er1 0.750 0.388 0.898
Er2 0.250 0.612 0.102
Er3 0.750 0.618 0.495
Er4 0.250 0.382 0.505
Er5 0.750 0.124 0.092
Er6 0.250 0.876 0.908
In1 0.750 0.120 0.698
In2 0.250 0.880 0.302